(1)
Density functional theory data (PBE) for a relaxed Zr3Ti4Sb2 crystal.

Lattice parameters (Å, degrees): 4.7630 4.7630 8.8798 90.00 90.00 120.00
Space group P-3m1 (No. 164)
One atom of each set of equivalent atoms:
Zr  0.0000  0.0000  0.0000
Zr  0.3333  0.6667  0.5661
Ti  0.0000  0.0000  0.3395
Ti  0.3333  0.6667  0.8959
Sb  0.3333  0.6667  0.2166

Computed properties:
Formation energy (no corrections) in meV per atom: -206


(2)
Density functional theory data (PBE) for a relaxed TlSb crystal.

Lattice parameters (Å, degrees): 4.320 4.564 6.877 90.00 90.00 90.00
Space group Pmmn (No. 59, origin choice 2)
One atom of each set of equivalent atoms:
Tl  0.250  0.250  0.133
Sb  0.250  0.750  0.495

Computed properties:
Formation energy (no corrections) in meV per atom: 32


(3)
Density functional theory data (PBE) for a relaxed Tl2Sb3 crystal.

Lattice parameters (Å, degrees): 4.718 6.906 10.181 90.00 90.00 90.00
Space group Immm (No. 71)
One atom of each set of equivalent atoms:
Tl  0.000  0.000  0.222
Sb  0.000  0.286  0.500
Sb  0.000  0.500  0.000

Computed properties:
Formation energy (no corrections) in meV per atom: 77


(4)
Density functional theory data (PBE) for a relaxed Tl7Sb3 crystal.

Lattice parameters (Å, degrees): 11.3797 11.3797 5.8281 90.00 90.00 120.00
Space group P6_3mc (No. 186)
One atom of each set of equivalent atoms:
Tl  0.0840  0.5420  0.0000
Tl  0.1192  0.2384  0.8166
Tl  0.3333  0.6667  0.5816
Sb  0.1934  0.3867  0.3160

Computed properties:
Formation energy (no corrections) in meV per atom: 37


(5)
Density functional theory data (PBE) for a relaxed TlSb crystal.

Lattice parameters (Å, degrees): 6.319 6.778 12.056 90.00 90.00 90.00
Space group Pnma (No. 62)
One atom of each set of equivalent atoms:
Tl  0.117  0.250  0.148
Tl  0.151  0.750  0.136
Sb  0.142  0.531  0.405

Computed properties:
Formation energy (no corrections) in meV per atom: 27


(6)
Density functional theory data (PBE) for a relaxed Tl3Sb crystal.

Lattice parameters (Å, degrees): 11.196 3.400 6.550 90.00 97.55 90.00
Space group C2/m (No. 12)
One atom of each set of equivalent atoms:
Tl  0.000  0.000  0.000
Tl  0.245  0.000  0.745
Sb  0.000  0.500  0.500

Computed properties:
Formation energy (no corrections) in meV per atom: 12


(7)
Density functional theory data (PBE) for a relaxed Tl3Sb crystal.

Lattice parameters (Å, degrees): 5.334 7.217 6.592 90.00 90.00 90.00
Space group Pmmn (No. 59, origin choice 2)
One atom of each set of equivalent atoms:
Tl  0.250  0.006  0.178
Tl  0.250  0.250  0.663
Sb  0.250  0.750  0.632

Computed properties:
Formation energy (no corrections) in meV per atom: 0


(8)
Density functional theory data (PBE) for a relaxed TlSb crystal.

Lattice parameters (Å, degrees): 3.3654 3.3654 18.4145 90.00 90.00 120.00
Space group R-3m (No. 166, hexagonal axes)
One atom of each set of equivalent atoms:
Tl  0.0000  0.0000  0.0000
Sb  0.0000  0.0000  0.5000

Computed properties:
Formation energy (no corrections) in meV per atom: 114


Which DFT total energy belongs to each record? In order, -0.550 -0.236 -0.246 -0.210 -0.236 -0.205 -0.206 -0.230 Ry per atom.
Which DOS(E_F) belongs to each record? In order, 11.79 1.69 4.10 13.91 7.37 2.77 2.60 3.15 states/eV per cell.
Which density belongs to each record? In order, 6746 7988 7749 9125 8391 9876 9618 8995 kg/m³.